DFT (PBE with a Hubbard U) results for Ba2NiF after structural relaxation.

## Properties
calculated volume	25.61	Å³ per atom
energy above the most stable polymorph in this dataset	182	meV per atom
space group	Fm-3m
total DFT energy (no corrections)	-2.75	eV per atom
N(E_F)	2.10	states/eV/f.u.

Unit cell a=5.252 b=5.252 c=5.252 alpha=60.00 beta=60.00 gamma=60.00
Fractional positions:
Ba 0.250 0.250 0.250
Ba 0.750 0.750 0.750
Ni 0.000 0.000 0.000
F 0.500 0.500 0.500